# BaUMnO5 PBE with a Hubbard U optimized geometry
# total DFT energy (no corrections) = -8.478 eV/atom
data_BaUMnO5
_space_group_name_H-M_alt 'C 1 2/c 1'
_space_group_IT_number 15
_space_group_name_Hall '-C 2yc'
_cell_length_a 7.5430
_cell_length_b 10.0774
_cell_length_c 8.2209
_cell_angle_alpha 90.00
_cell_angle_beta 115.68
_cell_angle_gamma 90.00
loop_
_atom_site_label
_atom_site_type_symbol
_atom_site_fract_x
_atom_site_fract_y
_atom_site_fract_z
_atom_site_occupancy
Ba1 Ba 0.0000 0.1732 0.2500 1
U1 U 0.0000 0.5000 0.0000 1
Mn1 Mn 0.0000 0.1908 0.7500 1
O1 O 0.0000 0.4391 0.2500 1
O2 O 0.0876 0.3044 0.5883 1
O3 O 0.2105 0.0527 0.9013 1

# BaUMn2O8 PBE with a Hubbard U optimized geometry
# total DFT energy (no corrections) = -7.650 eV/atom
data_BaUMn2O8
_space_group_name_H-M_alt 'P -3'
_space_group_IT_number 147
_space_group_name_Hall '-P 3'
_cell_length_a 5.7998
_cell_length_b 5.7998
_cell_length_c 7.4999
_cell_angle_alpha 90.00
_cell_angle_beta 90.00
_cell_angle_gamma 120.00
loop_
_atom_site_label
_atom_site_type_symbol
_atom_site_fract_x
_atom_site_fract_y
_atom_site_fract_z
_atom_site_occupancy
Ba1 Ba 0.0000 0.0000 0.0000 1
U1 U 0.0000 0.0000 0.5000 1
Mn1 Mn 0.3333 0.6667 0.7542 1
O1 O 0.1572 0.3170 0.6784 1
O2 O 0.3333 0.6667 0.9793 1

# BaU2MnO8 PBE with a Hubbard U optimized geometry
# total DFT energy (no corrections) = -8.795 eV/atom
data_BaU2MnO8
_space_group_name_H-M_alt 'C 1 2/m 1'
_space_group_IT_number 12
_space_group_name_Hall '-C 2y'
_cell_length_a 7.7271
_cell_length_b 7.1022
_cell_length_c 7.1191
_cell_angle_alpha 90.00
_cell_angle_beta 90.10
_cell_angle_gamma 90.00
loop_
_atom_site_label
_atom_site_type_symbol
_atom_site_fract_x
_atom_site_fract_y
_atom_site_fract_z
_atom_site_occupancy
Ba1 Ba 0.0000 0.0000 0.0000 1
U1 U 0.0001 0.5000 0.2585 1
Mn1 Mn 0.0000 0.0000 0.5000 1
O1 O 0.0006 0.2231 0.7136 1
O2 O 0.1595 0.5000 0.0000 1
O3 O 0.1709 0.5000 0.5002 1

# Ba2UMnO6 PBE with a Hubbard U optimized geometry
# total DFT energy (no corrections) = -8.078 eV/atom
data_Ba2UMnO6
_space_group_name_H-M_alt 'F m -3 m'
_space_group_IT_number 225
_space_group_name_Hall '-F 4 2 3'
_cell_length_a 8.5754
_cell_length_b 8.5754
_cell_length_c 8.5754
_cell_angle_alpha 90.00
_cell_angle_beta 90.00
_cell_angle_gamma 90.00
loop_
_atom_site_label
_atom_site_type_symbol
_atom_site_fract_x
_atom_site_fract_y
_atom_site_fract_z
_atom_site_occupancy
Ba1 Ba 0.2500 0.2500 0.2500 1
U1 U 0.0000 0.0000 0.0000 1
Mn1 Mn 0.0000 0.0000 0.5000 1
O1 O 0.0000 0.0000 0.2444 1

The highest total DFT energy (no corrections) belongs to which entry? BaUMn2O8